1.
A plane-wave DFT calculation with GGA-PBE was carried out for a relaxed structure of ThSiN2.

Size of the total moment (μB per formula unit): 0.00
Energy (eV/atom): -8.14
N(E_F) (states/eV/cell): 0.9
Formation energy without anion corrections (kcal/mol of atoms): -17.75
Space-group type: No. 166

Structure (POSCAR):
```
ThSiN2
1.0
-1.890 1.385 3.107
-2.651 -2.203 1.807
2.313 -2.246 4.845
Th N Si
1 2 1
Direct
0.500 0.500 0.500
0.894 0.894 0.318
0.106 0.106 0.682
0.000 0.000 0.000
```

---

2.
A plane-wave DFT calculation with GGA-PBE was carried out for a relaxed structure of NiSnSb2.

Size of the total moment (μB per formula unit): 0.00
Energy (eV/atom): -4.09
N(E_F) (states/eV/cell): 4.5
Formation energy without anion corrections (kcal/mol of atoms): 9.65
Space-group type: No. 166

Structure (POSCAR):
```
NiSnSb2
1.0
3.266 0.000 0.000
1.633 2.829 0.000
1.633 0.943 10.635
Ni Sb Sn
1 2 1
Direct
0.000 0.000 0.000
0.077 0.077 0.769
0.923 0.923 0.231
0.500 0.500 0.500
```

---

3.
A plane-wave DFT calculation with GGA-PBE was carried out for a relaxed structure of Y2CoNi.

Size of the total moment (μB per formula unit): 0.37
Energy (eV/atom): -6.71
N(E_F) (states/eV/cell): 1.2
Energy of formation from the pure elements (eV per atom): -0.25
Space-group type: No. 123

Structure (POSCAR):
```
Y2CoNi
1.0
3.358 0.088 0.000
-0.087 3.358 0.000
0.000 0.000 6.788
Y Co Ni
2 1 1
Direct
0.000 0.000 0.496
0.000 0.000 0.004
0.500 0.500 0.250
0.500 0.500 0.750
```

---

4.
A plane-wave DFT calculation with GGA-PBE was carried out for a relaxed structure of Tb3NiIr8.

Size of the total moment (μB per formula unit): 0.73
Energy (eV/atom): -8.05
N(E_F) (states/eV/cell): 14.6
Energy of formation from the pure elements (eV per atom): -0.50
Space-group type: No. 160

Structure (POSCAR):
```
Tb3NiIr8
1.0
5.102 0.000 1.513
2.327 4.541 1.513
0.036 0.022 9.235
Ir Tb Ni
8 3 1
Direct
0.059 0.059 0.322
0.809 0.809 0.573
0.059 0.561 0.322
0.561 0.059 0.322
0.061 0.561 0.818
0.561 0.561 0.818
0.561 0.061 0.818
0.310 0.310 0.069
0.623 0.623 0.132
0.492 0.492 0.523
0.009 0.009 0.973
0.146 0.146 0.563
```

---

5.
A plane-wave DFT calculation with GGA-PBE was carried out for a relaxed structure of Mn2CrS4.

Size of the total moment (μB per formula unit): 11.52
Energy (eV/atom): -6.84
N(E_F) (states/eV/cell): 5.3
Excess energy over the best structure of this formula in the dataset (meV/atom): 112
Formation energy without anion corrections (kcal/mol of atoms): -11.29
Space-group type: No. 63

Structure (POSCAR):
```
Mn2CrS4
1.0
3.423 0.000 0.000
-1.711 5.758 0.000
0.000 0.000 11.811
Mn S Cr
4 8 2
Direct
0.131 0.262 0.432
0.869 0.738 0.932
0.869 0.738 0.568
0.131 0.262 0.068
0.500 0.000 0.500
0.500 0.000 0.000
0.777 0.553 0.381
0.968 0.937 0.750
0.777 0.553 0.119
0.223 0.447 0.619
0.223 0.447 0.881
0.032 0.063 0.250
0.383 0.767 0.250
0.617 0.233 0.750
```

---

6.
A plane-wave DFT calculation with GGA-PBE was carried out for a relaxed structure of Th5SbOs2.

Size of the total moment (μB per formula unit): 0.00
Energy (eV/atom): -8.42
N(E_F) (states/eV/cell): 18.1
Formation energy without anion corrections (kcal/mol of atoms): -10.52
Space-group type: No. 140

Structure (POSCAR):
```
Th5SbOs2
1.0
-7.053 -3.638 -0.911
2.568 -6.098 4.475
-0.140 8.058 3.931
Th Os Sb
10 4 2
Direct
0.792 0.976 0.268
0.976 0.476 0.268
0.708 0.208 0.732
0.500 0.500 0.000
0.208 0.024 0.732
0.024 0.524 0.732
0.000 0.000 0.000
0.292 0.792 0.268
0.476 0.292 0.268
0.524 0.708 0.732
0.642 0.142 0.000
0.142 0.358 0.000
0.358 0.858 0.000
0.858 0.642 0.000
0.250 0.250 0.500
0.750 0.750 0.500
```